Entry 1:
Ta3NbIr PBE-GGA optimized geometry; energy of formation = -1.1 eV/f.u.; DOS(E_F) = 8.615 states/eV/cell; energy above the lowest structure with this stoichiometry = 0 meV per atom
1.0
2.6249 1.1088 -0.4036
1.7014 8.3126 -1.8897
-0.9743 -1.8843 9.1991
Ta Nb Ir
6 2 2
Cartesian
3.4676 7.7678 1.1807 Ta
2.6561 4.4896 1.2434 Ta
-0.1157 -0.2307 5.7251 Ta
0.6958 3.0475 5.6623 Ta
0.7531 1.2088 7.9743 Ta
2.5988 6.3283 -1.0686 Ta
1.6403 6.2898 5.9710 Nb
1.7116 1.2473 0.9347 Nb
0.8599 5.0376 3.7033 Ir
2.4920 2.4995 3.2025 Ir

Entry 2:
PdWC PBE-GGA optimized geometry; energy of formation = 1.1 eV/f.u.; DOS(E_F) = 4.042 states/eV/cell
1.0
-0.8569 2.0069 2.1793
-2.8641 1.1436 0.0029
-4.0773 -6.0686 6.1675
W C Pd
2 2 2
Cartesian
-2.8363 1.2079 2.1367 W
-4.9620 -4.1260 6.2129 W
-1.9165 -0.6465 2.0240 C
-5.8818 -2.2715 6.3257 C
-4.8005 0.4416 4.2522 Pd
-2.9978 -3.3597 4.0974 Pd

Entry 3:
LaReMo2 PBE-GGA optimized geometry; energy of formation = 2.1 eV/f.u.; DOS(E_F) = 4.067 states/eV/cell; energy above the lowest structure with this stoichiometry = 148 meV per atom
1.0
-1.0614 3.1477 3.9217
0.1518 0.4373 5.1186
4.7736 2.7222 1.3257
La Mo Re
1 2 1
Cartesian
0.9879 1.5594 2.5299 La
4.3007 2.5806 1.4845 Mo
2.8466 4.7156 7.7932 Mo
2.4344 3.3273 5.0672 Re

Entry 4:
NpSnSb PBE-GGA optimized geometry; DOS(E_F) = 7.954 states/eV/cell; E_form (uncorrected) = 4.2 kJ per mole of atoms; energy above the lowest structure with this stoichiometry = 231 meV per atom
1.0
-0.7022 -0.8188 -2.9229
1.1621 -5.1299 1.1578
-5.0125 1.8468 0.6869
Np Sb Sn
1 1 1
Cartesian
-3.4227 -1.0249 -1.1057 Np
-0.1164 -0.1357 -0.4844 Sb
-1.0135 -2.9413 0.5119 Sn

Number 1: total magnetization 0.00 μB per cell. Number 2: total magnetization 0.00 μB per cell. Number 3: total magnetization 0.00 μB per cell. Number 4: total magnetization 4.65 μB per cell.